Run i
A geometry-optimized Zn5Ag2Au4 structure, computed with GGA-PBE.

POSCAR file:
```
Zn5Ag2Au4
1.0
-0.9763 -0.7429 2.6736
-3.6368 -5.6160 -2.8884
8.2531 -3.1606 2.1354
Zn Ag Au
5 2 4
direct
0.0000 0.5066 0.3570 Zn
0.0000 0.9303 0.1162 Zn
0.0000 0.5000 0.0000 Zn
0.0000 0.0697 0.8838 Zn
0.0000 0.4934 0.6430 Zn
0.0000 0.8415 0.5925 Ag
0.0000 0.1585 0.4075 Ag
0.5000 0.2140 0.6999 Au
0.5000 0.7322 0.8668 Au
0.5000 0.7860 0.3001 Au
0.5000 0.2678 0.1332 Au
```

N(E_F)	2.65	states/eV/f.u.
SG	P2/m (10)
spin magnetization	0.000	μB per atom

---

Run ii
A geometry-optimized Zn5Ag2Au4 structure, computed with GGA-PBE.

POSCAR file:
```
Zn5Ag2Au4
1.0
6.0147 0.0000 0.0000
3.0074 6.7801 -1.4975
3.0074 0.3607 4.5701
Zn Ag Au
5 2 4
direct
0.2109 0.1798 0.8345 Zn
0.7891 0.8202 0.1655 Zn
0.0000 0.5000 0.5000 Zn
0.7749 0.1798 0.8345 Zn
0.2251 0.8202 0.1655 Zn
0.2826 0.8046 0.6302 Ag
0.7174 0.1954 0.3698 Ag
0.2854 0.1326 0.2966 Au
0.7146 0.8674 0.7034 Au
0.6999 0.5221 0.0781 Au
0.3001 0.4779 0.9219 Au
```

N(E_F)	1.96	states/eV/f.u.
SG	C2/m (12)
spin magnetization	0.000	μB per atom

---

run i is preferred energetically. Next in line: 7 meV per atom higher.

---

Run i
A geometry-optimized ZnAg6Au3 structure, computed with GGA-PBE.

POSCAR file:
```
ZnAg6Au3
1.0
4.0536 0.0000 0.0000
0.0000 7.8907 -3.8686
0.0000 0.8192 11.6323
Zn Ag Au
2 12 6
direct
0.2500 0.3354 0.0014 Zn
0.7500 0.6646 0.9986 Zn
0.2500 0.3659 0.4777 Ag
0.7500 0.6341 0.5223 Ag
0.2500 0.8848 0.9944 Ag
0.7500 0.1152 0.0056 Ag
0.2500 0.8737 0.5397 Ag
0.7500 0.1263 0.4603 Ag
0.2500 0.7082 0.1576 Ag
0.7500 0.2918 0.8424 Ag
0.2500 0.5456 0.8444 Ag
0.7500 0.4544 0.1556 Ag
0.2500 0.2114 0.2075 Ag
0.7500 0.7886 0.7925 Ag
0.2500 0.2086 0.6527 Au
0.7500 0.7914 0.3473 Au
0.2500 0.5535 0.3361 Au
0.7500 0.4465 0.6639 Au
0.2500 0.0278 0.8056 Au
0.7500 0.9722 0.1944 Au
```

N(E_F)	2.78	states/eV/f.u.
SG	P2_1/m (11)
spin magnetization	0.000	μB per atom

---

Run ii
A geometry-optimized ZnAg6Au3 structure, computed with GGA-PBE.

POSCAR file:
```
ZnAg6Au3
1.0
7.8341 0.0000 0.0160
0.0000 6.3333 0.0000
0.1524 0.0000 7.5523
Zn Ag Au
2 12 6
direct
0.5000 0.5000 0.5000 Zn
0.0000 0.0000 0.0000 Zn
0.6669 0.1047 0.9528 Ag
0.6730 0.1501 0.5655 Ag
0.8345 0.3169 0.2384 Ag
0.1655 0.6831 0.7616 Ag
0.3270 0.8499 0.4345 Ag
0.3331 0.8953 0.0472 Ag
0.1669 0.3953 0.4528 Ag
0.1730 0.3499 0.0655 Ag
0.3345 0.1831 0.7384 Ag
0.6655 0.8169 0.2616 Ag
0.8270 0.6501 0.9345 Ag
0.8331 0.6047 0.5472 Ag
0.5376 0.7897 0.7307 Au
0.5000 0.5000 0.0000 Au
0.4624 0.2103 0.2693 Au
0.0376 0.7103 0.2307 Au
0.0000 0.0000 0.5000 Au
0.9624 0.2897 0.7693 Au
```

N(E_F)	2.26	states/eV/f.u.
SG	P2_1/c (14)
spin magnetization	0.000	μB per atom

---

run ii is preferred energetically. Next in line: 39 meV per atom higher.

---

Run i
A geometry-optimized Zn7Ag3Au2 structure, computed with GGA-PBE.

POSCAR file:
```
Zn7Ag3Au2
1.0
4.0494 0.0000 0.0000
0.0000 4.1189 -0.8181
0.0000 0.3159 12.3689
Zn Ag Au
7 3 2
direct
0.0000 0.4235 0.8470 Zn
0.0000 0.7245 0.4489 Zn
0.0000 0.0000 0.0000 Zn
0.0000 0.5765 0.1530 Zn
0.5000 0.0776 0.1553 Zn
0.5000 0.9224 0.8447 Zn
0.0000 0.2755 0.5511 Zn
0.5000 0.5000 0.0000 Ag
0.5000 0.6495 0.2990 Ag
0.5000 0.3505 0.7010 Ag
0.0000 0.8404 0.6809 Au
0.0000 0.1596 0.3191 Au
```

N(E_F)	3.50	states/eV/f.u.
SG	Cmmm (65)
spin magnetization	0.000	μB per atom

---

Run ii
A geometry-optimized Zn7Ag3Au2 structure, computed with GGA-PBE.

POSCAR file:
```
Zn7Ag3Au2
1.0
2.8759 0.0000 0.0000
0.0000 4.5020 0.2367
0.0000 -1.4219 15.3147
Zn Ag Au
7 3 2
direct
0.5000 0.7425 0.4576 Zn
0.5000 0.2575 0.5424 Zn
0.0000 0.6906 0.1430 Zn
0.0000 0.0000 0.0000 Zn
0.0000 0.3094 0.8570 Zn
0.5000 0.8038 0.8130 Zn
0.5000 0.1962 0.1870 Zn
0.5000 0.5000 0.0000 Ag
0.0000 0.2267 0.3829 Ag
0.0000 0.7733 0.6171 Ag
0.5000 0.7113 0.2894 Au
0.5000 0.2887 0.7106 Au
```

N(E_F)	1.94	states/eV/f.u.
SG	P2/m (10)
spin magnetization	0.000	μB per atom

---

run ii is preferred energetically. Next in line: 32 meV per atom higher.